No. 1
DFT (PBE) results for an optimized crystal structure of Ho3CS.

Computed properties:
- space-group type = P2_1/m (11)
- crystal system = monoclinic
- raw formation energy (eV per atom) = -0.772

Cell lengths 3.584, 6.774, 9.361 Å; angles 90.00, 98.38, 90.00 degrees
Fractional coordinates of all 10 atoms:
Ho  0.090  0.250  0.001
Ho  0.328  0.023  0.694
Ho  0.328  0.477  0.694
Ho  0.672  0.523  0.306
Ho  0.672  0.977  0.306
Ho  0.910  0.750  0.999
C  0.154  0.750  0.235
C  0.846  0.250  0.765
S  0.223  0.250  0.430
S  0.777  0.750  0.570

---

No. 2
DFT (PBE) results for an optimized crystal structure of Ce2HfAl.

Computed properties:
- space-group type = R-3m (166)
- crystal system = trigonal
- energy (eV/atom) = -6.25

Cell lengths 11.589, 11.589, 11.589 Å; angles 15.16, 15.16, 15.16 degrees
Fractional coordinates of all 4 atoms:
Ce  0.089  0.089  0.089
Ce  0.911  0.911  0.911
Hf  0.000  0.000  0.000
Al  0.500  0.500  0.500

---

| no. | size of the total moment (μB per formula unit) |
| --- | --- |
| 1 | 0.00 |
| 2 | 0.00 |